Compound: YBe17Tc
Source: the Alexandria database
Functional: PBE
Structure: relaxed

Results
The formation energy from the elements is -113 meV per atom. The spin magnetization comes out at 0.00 Bohr magnetons per cell. The calculation puts the density of states at the Fermi level at 0.25 states/eV per atom.

POSCAR file:
```
YBe17Tc
1.0
3.739 2.159 3.632
-3.739 2.159 3.632
0.000 -4.318 3.632
Y Be Tc
1 17 1
Cartesian
0.000 0.000 0.000 Y
0.000 -2.090 1.872 Be
-1.810 1.045 1.872 Be
-1.874 -1.082 5.375 Be
0.000 -2.095 5.264 Be
-1.814 1.047 5.264 Be
-1.048 -1.910 7.197 Be
-2.178 0.048 7.197 Be
1.810 1.045 1.872 Be
0.000 0.000 6.084 Be
1.048 -1.910 7.197 Be
-1.130 1.862 7.197 Be
1.874 -1.082 5.375 Be
0.000 2.164 5.375 Be
0.000 0.000 8.186 Be
1.814 1.047 5.264 Be
2.178 0.048 7.197 Be
1.130 1.862 7.197 Be
0.000 0.000 3.593 Tc
```


Compound: YBe2Tc2
Source: the Alexandria database
Functional: PBE
Structure: relaxed

Results
The formation energy from the elements is -5 meV per atom. The value obtained for the energy above the most stable polymorph in this dataset is 0.0225 eV per atom. The spin magnetization comes out at 0.00 Bohr magnetons per cell. The calculation puts the density of states at the Fermi level at 0.71 states/eV per atom.

POSCAR file:
```
YBe2Tc2
1.0
-2.130 2.130 4.242
2.130 -2.130 4.242
2.130 2.130 -4.242
Y Be Tc
1 2 2
Cartesian
0.000 0.000 0.000 Y
2.130 0.000 2.121 Be
0.000 2.130 2.121 Be
0.000 0.000 3.051 Tc
0.000 0.000 5.433 Tc
```


Compound: Y4BeTc
Source: the Alexandria database
Functional: PBE
Structure: relaxed

Results
The formation energy from the elements is 1075 meV per atom. The spin magnetization comes out at 0.94 Bohr magnetons per cell. The calculation puts the density of states at the Fermi level at 1.18 states/eV per atom.

POSCAR file:
```
Y4BeTc
1.0
0.000 4.240 4.240
4.240 0.000 4.240
4.240 4.240 0.000
Y Be Tc
4 1 1
Cartesian
3.189 3.189 3.189 Y
5.291 5.291 3.189 Y
5.291 3.189 5.291 Y
3.189 5.291 5.291 Y
0.000 0.000 0.000 Be
6.360 6.360 6.360 Tc
```


Compound: Y2BeTc
Source: the Alexandria database
Functional: PBE
Structure: relaxed

Results
The formation energy from the elements is 300 meV per atom. The spin magnetization comes out at 0.00 Bohr magnetons per cell. The calculation puts the density of states at the Fermi level at 1.00 states/eV per atom.

POSCAR file:
```
Y2BeTc
1.0
-2.121 2.121 4.411
2.121 -2.121 4.411
2.121 2.121 -4.411
Y Be Tc
2 1 1
Cartesian
0.000 0.000 0.000 Y
0.000 2.121 2.205 Y
2.121 0.000 2.205 Be
0.000 0.000 4.411 Tc
```


Compound: Y2BeTc
Source: the Alexandria database
Functional: PBE
Structure: relaxed

Results
The formation energy from the elements is 914 meV per atom. The spin magnetization comes out at 1.49 Bohr magnetons per cell. The calculation puts the density of states at the Fermi level at 1.13 states/eV per atom.

POSCAR file:
```
Y2BeTc
1.0
-2.183 2.183 9.301
2.183 -2.183 9.301
2.183 2.183 -9.301
Y Be Tc
4 2 2
Cartesian
3.274 1.060 -2.325 Y
1.060 1.091 2.325 Y
-1.091 1.123 6.976 Y
1.123 1.091 11.626 Y
2.183 0.000 4.650 Be
0.000 0.000 9.301 Be
0.000 0.000 0.000 Tc
0.000 2.183 4.650 Tc
```


Compound: YBe2Tc2
Source: the Alexandria database
Functional: PBE
Structure: relaxed

Results
The formation energy from the elements is -27 meV per atom. The value obtained for the energy above the most stable polymorph in this dataset is 0.0000 eV per atom. The spin magnetization comes out at 0.00 Bohr magnetons per cell. The calculation puts the density of states at the Fermi level at 0.59 states/eV per atom.

POSCAR file:
```
YBe2Tc2
1.0
6.532 0.000 0.000
0.000 6.532 0.000
0.000 0.000 3.291
Y Be Tc
2 4 4
Cartesian
0.000 0.000 0.000 Y
3.266 3.266 0.000 Y
0.723 2.543 0.000 Be
2.543 5.809 0.000 Be
3.989 0.723 0.000 Be
5.809 3.989 0.000 Be
1.086 4.352 1.646 Tc
2.180 1.086 1.646 Tc
4.352 5.446 1.646 Tc
5.446 2.180 1.646 Tc
```


Compound: YBeTc
Source: the Alexandria database
Functional: PBE
Structure: relaxed

Results
The formation energy from the elements is 383 meV per atom. The value obtained for the energy above the most stable polymorph in this dataset is 0.4683 eV per atom. The spin magnetization comes out at 0.00 Bohr magnetons per cell. The calculation puts the density of states at the Fermi level at 0.89 states/eV per atom.

POSCAR file:
```
YBeTc
1.0
0.000 3.002 3.002
3.002 0.000 3.002
3.002 3.002 0.000
Y Be Tc
1 1 1
Cartesian
0.000 0.000 0.000 Y
4.504 4.504 4.504 Be
3.002 3.002 3.002 Tc
```


Compound: YBeTc2
Source: the Alexandria database
Functional: PBE
Structure: relaxed

Results
The formation energy from the elements is 585 meV per atom. The spin magnetization comes out at 0.00 Bohr magnetons per cell. The calculation puts the density of states at the Fermi level at 1.11 states/eV per atom.

POSCAR file:
```
YBeTc2
1.0
2.672 -4.356 0.000
2.672 4.356 0.000
0.000 0.000 2.823
Y Be Tc
1 1 2
Cartesian
0.000 0.000 0.000 Y
2.672 0.000 0.000 Be
1.336 2.178 1.411 Tc
1.336 -2.178 1.411 Tc
```


Compound: YBeTc2
Source: the Alexandria database
Functional: PBE
Structure: relaxed

Results
The formation energy from the elements is -14 meV per atom. The spin magnetization comes out at 0.00 Bohr magnetons per cell. The calculation puts the density of states at the Fermi level at 0.71 states/eV per atom.

POSCAR file:
```
YBeTc2
1.0
3.118 0.000 0.000
0.000 3.118 0.000
0.000 0.000 6.732
Y Be Tc
1 1 2
Cartesian
0.000 0.000 0.000 Y
1.559 1.559 2.104 Be
0.000 0.000 3.184 Tc
1.559 1.559 4.623 Tc
```


Compound: YBeTc2
Source: the Alexandria database
Functional: PBE
Structure: relaxed

Results
The formation energy from the elements is 314 meV per atom. The spin magnetization comes out at 0.00 Bohr magnetons per cell. The calculation puts the density of states at the Fermi level at 0.60 states/eV per atom.

POSCAR file:
```
YBeTc2
1.0
1.713 -2.285 0.000
1.713 2.285 0.000
0.000 0.000 7.938
Y Be Tc
1 1 2
Cartesian
0.000 0.000 0.000 Y
0.000 0.000 3.969 Be
1.713 0.000 2.400 Tc
1.713 0.000 5.538 Tc
```


Compound: Y2BeTc
Source: the Alexandria database
Functional: PBE
Structure: relaxed

Results
The formation energy from the elements is 405 meV per atom. The spin magnetization comes out at 0.00 Bohr magnetons per cell. The calculation puts the density of states at the Fermi level at 0.85 states/eV per atom.

POSCAR file:
```
Y2BeTc
1.0
1.734 1.001 8.366
-1.734 1.001 8.366
0.000 -2.002 8.366
Y Be Tc
2 1 1
Cartesian
0.000 0.000 6.239 Y
0.000 0.000 18.858 Y
0.000 0.000 0.000 Be
0.000 0.000 12.548 Tc
```


Compound: YBeTc
Source: the Alexandria database
Functional: PBE
Structure: relaxed

Results
The formation energy from the elements is 1405 meV per atom. The value obtained for the energy above the most stable polymorph in this dataset is 1.4901 eV per atom. The spin magnetization comes out at 0.94 Bohr magnetons per cell. The calculation puts the density of states at the Fermi level at 2.34 states/eV per atom.

POSCAR file:
```
YBeTc
1.0
0.000 3.163 3.163
3.163 0.000 3.163
3.163 3.163 0.000
Y Be Tc
1 1 1
Cartesian
0.000 0.000 0.000 Y
1.582 1.582 1.582 Be
4.745 4.745 4.745 Tc
```


- Look up the density of states at the Fermi level of the fifth one.
  1.13 states/eV per atom


- Which value of spin magnetization does entry 6 give?
  0.00 Bohr magnetons per cell